Below is crystalline TaAuNO at its relaxed geometry, with properties calculated at the PBE-GGA level.

As for the total energy: -64.074 eV per cell. For the energy above the lowest structure with this stoichiometry, the calculation gives 0.0000 eV per atom. Its symmetry is Pmc2_1. As for the size of the total moment: 0.0001 μB/atom. Its calculated volume is 17.97 Å³ per atom.

Cell lengths 3.7535, 6.1797, 6.1961 Å; angles 90.00, 90.00, 90.00 degrees
Last column: nearest neighbours and their distance in Å.
Fractional positions:
O 0.5000 0.0077 0.2842  2 Ta 1.88-1.95
N 0.0000 0.2798 0.5901  2 Ta 2.00, 2 Au 2.05-2.07
O 0.5000 0.9923 0.7842  2 Ta 1.88-1.95
Au 0.0000 0.4985 0.8393  2 N 2.05-2.07
Ta 0.5000 0.1820 0.5324  2 O 1.88-1.95, 2 N 2.00
N 0.0000 0.7202 0.0901  2 Ta 2.00, 2 Au 2.05-2.07
Ta 0.5000 0.8180 0.0324  2 O 1.88-1.95, 2 N 2.00
Au 0.0000 0.5015 0.3393  2 N 2.05-2.07